(1)
Below is a relaxed HfZrSc2 crystal, with properties calculated at the PBE level.

Properties
relative energy among the computed polymorphs: 170 meV per atom
SG: Fm-3m
formation energy from the elements: 0.19 eV/atom

Cell: 5.0730 5.0730 5.0730 Å, 60.00 60.00 60.00°
Closest atoms and distances in Å follow each position.
Atoms (fractional coordinates):
Hf 0.0000 0.0000 0.0000  8 Sc 3.11
Zr 0.5000 0.5000 0.5000  8 Sc 3.11
Sc 0.2500 0.2500 0.2500  4 Hf 3.11, 4 Zr 3.11
Sc 0.7500 0.7500 0.7500  4 Zr 3.11, 4 Hf 3.11



(2)
Below is a relaxed K2SrAsSe4 crystal, with properties calculated at the PBE level.

Properties
SG: Imma

Cell: 8.8365 8.8365 8.8365 Å, 125.25 115.13 89.90°
Closest atoms and distances in Å follow each position.
Atoms (fractional coordinates):
K 0.0000 0.0000 0.0000  6 Se 3.21
K 0.5000 0.0000 0.0000  6 Se 3.46-3.51
K 0.5000 0.0000 0.5000  6 Se 3.21
K 0.5000 0.5000 0.5000  6 Se 3.46-3.51
Sr 0.0000 0.5000 0.5000  6 Se 3.07-3.12
Sr 0.5000 0.5000 0.0000  6 Se 3.07-3.12
As 0.0000 0.0000 0.5000  6 Se 2.77-2.80
As 0.0000 0.5000 0.0000  6 Se 2.77-2.80
Se 0.1947 0.7467 0.4480  2 As 2.77
Se 0.2013 0.2533 0.9480  2 As 2.77
Se 0.2233 0.2360 0.5127  1 As 2.80, 2 Sr 3.07
Se 0.2233 0.7107 0.9873  1 As 2.80, 2 Sr 3.07
Se 0.7767 0.2893 0.0127  1 As 2.80, 2 Sr 3.07
Se 0.7767 0.7640 0.4873  1 As 2.80, 2 Sr 3.07
Se 0.7987 0.7467 0.0520  2 As 2.77
Se 0.8053 0.2533 0.5520  2 As 2.77



Energy, respectively: -30.389 -59.062 eV/cell.